[1]
A plane-wave DFT calculation with SCAN was carried out for a PBEsol-optimized structure of YMn2Os2.

Cell: 5.7278 5.7278 5.7278 Å, 138.74 138.74 59.77°
Fractional positions:
Y (0.0000, 0.0000, 0.0000)
Mn (0.2500, 0.7500, 0.5000)
Mn (0.7500, 0.2500, 0.5000)
Os (0.3750, 0.3750, 0.0000)
Os (0.6250, 0.6250, 0.0000)

Calculated values
calculated volume	16.18	Å³/atom
formation enthalpy at 0 K	-0.08	eV/atom

[2]
A plane-wave DFT calculation with SCAN was carried out for a PBEsol-optimized structure of Nb2GaNi3.

Cell: 4.8611 4.8611 7.6899 Å, 90.00 90.00 120.00°
Fractional positions:
Nb (0.3333, 0.6667, 0.0576)
Nb (0.3333, 0.6667, 0.4424)
Nb (0.6667, 0.3333, 0.5576)
Nb (0.6667, 0.3333, 0.9424)
Ga (0.0000, 0.0000, 0.0000)
Ga (0.0000, 0.0000, 0.5000)
Ni (0.1715, 0.3430, 0.7500)
Ni (0.1715, 0.8285, 0.7500)
Ni (0.3430, 0.1715, 0.2500)
Ni (0.6570, 0.8285, 0.7500)
Ni (0.8285, 0.1715, 0.2500)
Ni (0.8285, 0.6570, 0.2500)

Calculated values
calculated volume	13.11	Å³/atom
formation enthalpy at 0 K	-0.36	eV/atom

[3]
A plane-wave DFT calculation with SCAN was carried out for a PBEsol-optimized structure of BeCdMo2.

Cell: 5.0672 5.0672 4.0875 Å, 112.76 112.76 37.85°
Fractional positions:
Be (0.0000, 0.0000, 0.0000)
Cd (0.5000, 0.5000, 0.5000)
Mo (0.2619, 0.2619, 0.7687)
Mo (0.7381, 0.7381, 0.2313)

Calculated values
calculated volume	14.69	Å³/atom
formation enthalpy at 0 K	0.34	eV/atom
polymorph energy (0 for the lowest one)	0.085	eV per atom

The lowest formation enthalpy at 0 K belongs to which entry? Nb2GaNi3